Record 1
VASP calculation (PBE-GGA) on an optimized crystal structure of Mn3TlI9.

Properties
- Raw formation energy: -0.344 eV per atom
- SG: Cc
- Energy: -3.715 eV/atom

Lattice parameters (Å, degrees): 11.724 11.724 14.896 125.43 125.43 52.98
Fractional coordinates of all 26 atoms:
Mn 0.084 0.916 0.500
Mn 0.291 0.476 0.541
Mn 0.476 0.291 0.041
Mn 0.685 0.918 0.166
Mn 0.916 0.084 0.000
Mn 0.918 0.685 0.666
Tl 0.418 0.844 0.317
Tl 0.844 0.418 0.817
I 0.039 0.064 0.204
I 0.064 0.039 0.704
I 0.092 0.821 0.874
I 0.105 0.627 0.388
I 0.128 0.425 0.578
I 0.201 0.426 0.916
I 0.316 0.926 0.525
I 0.425 0.128 0.078
I 0.426 0.201 0.416
I 0.454 0.618 0.738
I 0.582 0.756 0.140
I 0.618 0.454 0.238
I 0.627 0.105 0.888
I 0.729 0.891 0.571
I 0.756 0.582 0.640
I 0.821 0.092 0.374
I 0.891 0.729 0.071
I 0.926 0.316 0.025

Record 2
VASP calculation (PBE-GGA) on an optimized crystal structure of Pm2PrDy2Tm2.

Properties
- SG: C2/m
- Energy: -4.485 eV/atom

Lattice parameters (Å, degrees): 9.026 9.026 8.492 116.57 116.57 22.36
Fractional coordinates of all 7 atoms:
Pm 0.072 0.072 0.412
Pm 0.928 0.928 0.588
Pr 0.500 0.500 0.000
Dy 0.287 0.287 0.704
Dy 0.713 0.713 0.296
Tm 0.151 0.151 0.893
Tm 0.849 0.849 0.107

Record 3
VASP calculation (PBE-GGA) on an optimized crystal structure of Co2AgGe2.

Properties
- SG: I4/mmm
- Energy: -5.212 eV/atom
- Energy relative to the lowest polymorph listed for this composition: 42 kJ/mol of formula units

Lattice parameters (Å, degrees): 5.717 5.717 5.717 140.28 140.28 57.43
Fractional coordinates of all 5 atoms:
Co 0.250 0.750 0.500
Co 0.750 0.250 0.500
Ag 0.000 0.000 0.000
Ge 0.377 0.377 0.000
Ge 0.623 0.623 0.000

Record 4
VASP calculation (PBE-GGA) on an optimized crystal structure of BaSr2Si.

Properties
- Raw formation energy: -0.095 eV per atom
- SG: P4/mmm
- Energy: -2.773 eV/atom

Lattice parameters (Å, degrees): 3.905 3.905 10.925 90.00 90.00 90.00
Fractional coordinates of all 4 atoms:
Ba 0.000 0.000 0.000
Sr 0.500 0.500 0.333
Sr 0.500 0.500 0.667
Si 0.000 0.000 0.500

Record 5
VASP calculation (PBE-GGA) on an optimized crystal structure of Li2MoH.

Properties
- SG: I4_1/amd
- Energy: -3.917 eV/atom
- Energy relative to the lowest polymorph listed for this composition: 0 kJ/mol of formula units

Lattice parameters (Å, degrees): 4.955 4.955 4.955 119.84 119.84 90.28
Fractional coordinates of all 8 atoms:
Li 0.000 0.000 0.000
Li 0.000 0.000 0.500
Li 0.000 0.500 0.000
Li 0.500 0.000 0.500
Mo 0.375 0.625 0.750
Mo 0.625 0.375 0.250
H 0.125 0.875 0.250
H 0.875 0.125 0.750

Record 6
VASP calculation (PBE-GGA) on an optimized crystal structure of CaScBi2.

Properties
- SG: I4/mmm
- Energy: -4.585 eV/atom
- Energy relative to the lowest polymorph listed for this composition: 35 kJ/mol of formula units

Lattice parameters (Å, degrees): 11.740 11.740 11.740 157.11 157.11 32.59
Fractional coordinates of all 8 atoms:
Ca 0.110 0.110 0.000
Ca 0.890 0.890 0.000
Sc 0.250 0.750 0.500
Sc 0.750 0.250 0.500
Bi 0.000 0.500 0.500
Bi 0.335 0.335 0.000
Bi 0.500 0.000 0.500
Bi 0.665 0.665 0.000

Record 7
VASP calculation (PBE-GGA) on an optimized crystal structure of Nd2TmSn3.

Properties
- SG: Immm
- Energy: -4.904 eV/atom

Lattice parameters (Å, degrees): 6.934 6.934 6.934 136.02 125.70 72.36
Fractional coordinates of all 6 atoms:
Nd 0.174 0.174 0.000
Nd 0.826 0.826 0.000
Tm 0.500 0.500 0.000
Sn 0.000 0.500 0.500
Sn 0.352 0.852 0.500
Sn 0.648 0.148 0.500

Record 8
VASP calculation (PBE-GGA) on an optimized crystal structure of CaCrNi.

Properties
- SG: Pnma
- Energy: -5.303 eV/atom
- Energy relative to the lowest polymorph listed for this composition: 82 kJ/mol of formula units

Lattice parameters (Å, degrees): 5.167 4.060 10.333 90.00 90.00 90.00
Fractional coordinates of all 12 atoms:
Ca 0.093 0.250 0.129
Ca 0.407 0.750 0.629
Ca 0.593 0.250 0.371
Ca 0.907 0.750 0.871
Cr 0.085 0.750 0.334
Cr 0.415 0.250 0.834
Cr 0.585 0.750 0.166
Cr 0.915 0.250 0.666
Ni 0.083 0.250 0.447
Ni 0.417 0.750 0.947
Ni 0.583 0.250 0.053
Ni 0.917 0.750 0.553

> Which of these has the highest energy?

BaSr2Si

> The lowest energy belongs to which entry?

CaCrNi